Record 1
Entry from the Alexandria database: an optimized crystal structure of YSbOs2 (PBE).

Final energy, eV/atom: -8.12
Formation energy without anion corrections, eV/atom: 0.140

Lattice parameters (Å, degrees): 10.434 3.161 5.072 90.00 111.57 90.00
Space group Cm (No. 8)
Inequivalent atoms, fractional coordinates:
Y1 0.000 0.000 0.000 (multiplicity 2)
Sb1 0.284 0.500 0.270 (multiplicity 2)
Os1 0.014 0.500 0.540 (multiplicity 2)
Os2 0.230 0.000 0.643 (multiplicity 2)



Record 2
Entry from the Alexandria database: an optimized crystal structure of YSb12Os4 (PBE).

Final energy, eV/atom: -6.06
Formation energy without anion corrections, eV/atom: -0.123

Lattice parameters (Å, degrees): 9.411 9.411 9.411 90.00 90.00 90.00
Space group Im-3 (No. 204)
Inequivalent atoms, fractional coordinates:
Y1 0.000 0.000 0.000 (multiplicity 2)
Sb1 0.000 0.338 0.156 (multiplicity 24)
Os1 0.250 0.250 0.250 (multiplicity 8)